Record 1
First-principles (GGA-PBE) data for a relaxed PuSb2Au crystal, as listed in Alexandria.

extended XYZ file:
```
8
Lattice="6.3757 0.4174 -0.5555 0.4070 6.3784 0.5225 -2.5415 2.5618 5.3031" Properties=species:S:1:pos:R:3 pbc="T T T"
Pu 2.3239 7.8678 2.8963
Pu -1.0670 4.4704 2.9128
Sb 0.6049 3.5918 0.2593
Sb 0.6520 8.7464 5.5497
Sb 5.0527 1.7477 1.5319
Sb 2.1729 4.6294 3.1991
Au 3.8342 2.9798 4.7470
Au 3.3914 3.3974 -0.0159
```

Results
Its calculated density is 11.6 g/cm³. Its space group is I4/mcm, No. 140. The calculation puts the uncorrected formation energy at -446.6 meV/atom.



Record 2
First-principles (GGA-PBE) data for a relaxed LaCuH6Pt crystal, as listed in Alexandria.

extended XYZ file:
```
9
Lattice="-4.2027 -0.5000 1.9314 -0.3913 -0.5971 4.5971 -0.2793 4.5273 0.5642" Properties=species:S:1:pos:R:3 pbc="T T T"
H -2.5144 2.8592 3.6972
H -2.5674 0.2718 5.6925
H -2.3713 0.5680 3.4133
H -4.5979 2.6110 4.6570
H -2.7065 2.5632 5.9773
H -4.4560 0.3202 4.3691
Pt -1.6709 1.8971 2.4581
La -4.4819 4.0268 2.4956
Cu -3.2023 1.5332 4.6344
```

Results
The final energy is -4.22 eV per atom. Its calculated density is 7.8 g/cm³. Its space group is P-6m2, No. 187.



| no. | density of states at the Fermi level (states/eV per atom) |
| --- | --- |
| 1 | 2.8181 |
| 2 | 0.3026 |